(1)
A relaxed structure of K3Tl8Pd3, computed with GGA-PBE.

Formation energy   -0.131 eV/atom
Density of states at the Fermi level   5.54 states/eV/f.u.
Space group   No. 12
E_tot   -0.208 Ry/atom

Structure (extended XYZ):
```
14
Lattice="-0.859 2.566 4.514 3.062 -5.880 6.992 8.423 1.595 3.763" Properties=species:S:1:pos:R:3 pbc="T T T"
K 7.961 -2.355 8.988
K 2.664 0.635 6.281
K 0.000 0.000 0.000
Tl 5.166 0.200 3.936
Tl 5.460 -1.920 11.333
Tl 7.827 0.895 10.184
Tl 2.798 -2.614 5.086
Tl 4.289 -2.077 8.132
Tl 6.336 0.358 7.137
Tl 2.160 1.075 2.868
Tl 8.466 -2.794 12.402
Pd 5.742 -2.142 5.377
Pd 1.508 -2.220 7.684
Pd 9.118 0.500 7.585
```

***

(2)
A relaxed structure of PmEuPbI, computed with GGA-PBE.

Density of states at the Fermi level   8.79 states/eV/f.u.
Space group   No. 216
E_tot   -0.422 Ry/atom

Structure (extended XYZ):
```
4
Lattice="-5.390 -0.919 1.432 -1.252 -2.098 5.097 -2.494 3.278 3.870" Properties=species:S:1:pos:R:3 pbc="T T T"
Pb -4.567 0.131 5.199
Eu -2.284 0.065 2.600
I 0.000 0.000 0.000
Pm -6.851 0.196 7.799
```

***

(3)
A relaxed structure of Tb8NdDy2, computed with GGA-PBE.

Formation energy   0.113 eV/atom
Density of states at the Fermi level   15.47 states/eV/f.u.
Space group   No. 71
E_tot   -0.333 Ry/atom

Structure (extended XYZ):
```
11
Lattice="-5.245 0.223 1.767 -1.133 -7.717 -2.390 5.496 1.184 7.491" Properties=species:S:1:pos:R:3 pbc="T T T"
Tb -2.782 -6.049 1.192
Tb 1.432 -3.440 4.693
Tb 0.752 -0.837 2.342
Tb -0.084 -0.872 8.551
Tb -1.635 -5.472 4.526
Tb -2.315 -2.869 2.175
Tb 1.899 -0.260 5.676
Tb -0.798 -5.438 -1.683
Nd -2.622 0.112 0.883
Dy 0.355 -4.881 1.673
Dy -1.237 -1.428 5.195
```

***

(4)
A relaxed structure of LiTa2, computed with GGA-PBE.

Formation energy   0.269 eV/atom
Density of states at the Fermi level   2.00 states/eV/f.u.
Space group   No. 69
E_tot   -0.608 Ry/atom

Structure (extended XYZ):
```
6
Lattice="-6.381 1.857 -4.035 4.665 -4.315 4.480 -1.869 2.007 3.879" Properties=species:S:1:pos:R:3 pbc="T T T"
Li -5.022 1.819 1.002
Li 1.437 -2.271 3.321
Ta 2.382 -2.318 6.710
Ta -1.379 -0.216 3.811
Ta -2.206 -0.235 0.513
Ta -5.967 1.866 -2.386
```

***

(5)
A relaxed structure of VCI2, computed with GGA-PBE.

Density of states at the Fermi level   4.40 states/eV/f.u.
Space group   No. 225
E_tot   -0.266 Ry/atom

Structure (extended XYZ):
```
4
Lattice="0.000 3.428 3.428 3.428 0.000 3.428 3.428 3.428 0.000" Properties=species:S:1:pos:R:3 pbc="T T T"
I 1.714 1.714 1.714
I 5.142 5.142 5.142
C 0.000 0.000 0.000
V 3.428 3.428 3.428
```

***

(6)
A relaxed structure of PuGa2Sb, computed with GGA-PBE.

Density of states at the Fermi level   9.21 states/eV/f.u.
Space group   No. 225
E_tot   -0.459 Ry/atom

Structure (extended XYZ):
```
4
Lattice="-0.401 0.709 -5.012 -3.292 -2.767 -2.701 -4.161 2.175 -1.931" Properties=species:S:1:pos:R:3 pbc="T T T"
Sb 0.000 0.000 0.000
Ga -1.964 0.030 -2.411
Ga -5.890 0.087 -7.234
Pu -3.927 0.059 -4.822
```

***

(7)
A relaxed structure of Hf2CoPd2, computed with GGA-PBE.

Formation energy   -0.492 eV/atom
Density of states at the Fermi level   4.52 states/eV/f.u.
Space group   No. 72
E_tot   -0.586 Ry/atom

Structure (extended XYZ):
```
10
Lattice="5.177 0.000 0.000 0.000 5.863 0.000 -2.589 -2.932 5.674" Properties=species:S:1:pos:R:3 pbc="T T T"
Hf 0.000 1.138 3.830
Hf 2.589 1.793 1.844
Hf 0.000 4.070 1.844
Hf 2.589 -1.138 3.830
Co 3.883 2.932 0.000
Co 1.294 2.932 0.000
Pd 2.589 2.013 4.546
Pd 0.000 0.919 1.128
Pd 2.589 4.945 1.128
Pd 0.000 -2.013 4.546
```

***

(8)
A relaxed structure of Tl3ZnAs, computed with GGA-PBE.

Formation energy   0.434 eV/atom
Density of states at the Fermi level   4.63 states/eV/f.u.
Space group   No. 221
E_tot   -0.160 Ry/atom

Structure (extended XYZ):
```
5
Lattice="-0.753 -3.573 4.326 5.307 -1.870 -0.621 1.821 3.973 3.598" Properties=species:S:1:pos:R:3 pbc="T T T"
Zn 3.187 -0.735 3.652
Tl 2.653 -0.935 -0.310
Tl 0.910 1.986 1.799
Tl -0.377 -1.786 2.163
As 0.000 0.000 0.000
```

***

(9)
A relaxed structure of DyYBiSe, computed with GGA-PBE.

Density of states at the Fermi level   2.72 states/eV/f.u.
Space group   No. 160
E_tot   -0.430 Ry/atom

Structure (extended XYZ):
```
4
Lattice="4.210 0.000 0.000 -2.104 3.646 0.000 -2.105 -1.215 7.312" Properties=species:S:1:pos:R:3 pbc="T T T"
Dy -1.707 0.949 6.541
Y 2.503 0.949 2.520
Bi 0.398 -0.266 4.540
Se -1.707 3.379 0.801
```

***

(10)
A relaxed structure of Rb5RhO5, computed with GGA-PBE.

Density of states at the Fermi level   1.99 states/eV/f.u.
Space group   No. 12
E_tot   -0.314 Ry/atom

Structure (extended XYZ):
```
11
Lattice="-1.914 -4.668 -2.027 -0.009 0.249 6.725 -6.235 3.556 -2.301" Properties=species:S:1:pos:R:3 pbc="T T T"
Rb -3.143 -2.010 0.305
Rb -6.531 -0.046 -1.017
Rb -3.118 1.778 -1.150
Rb -1.628 -0.815 3.414
Rb -5.016 1.148 2.092
Rh 0.000 0.000 0.000
O -2.463 -3.481 3.049
O -6.381 -1.245 1.601
O -0.957 -2.334 -1.014
O -1.778 0.383 0.796
O -5.696 2.619 -0.652
```

***

Q: The lowest density of states at the Fermi level belongs to which entry?
A: Rb5RhO5